(1)
DFT (GGA-PBE) results for a geometry-optimized NdOsAu structure. Values from VASP.

```
&SYSTEM
  ibrav = 0, nat = 3, ntyp = 3
/
ATOMIC_SPECIES
Nd 144.24 Nd.upf
Os 190.23 Os.upf
Au 196.97 Au.upf
CELL_PARAMETERS angstrom
0.0000 3.2903 3.2903
3.2903 0.0000 3.2903
3.2903 3.2903 0.0000
ATOMIC_POSITIONS crystal
Nd 0.0000 0.0000 0.0000
Os 0.7500 0.7500 0.7500
Au 0.5000 0.5000 0.5000
```

Output
Formation energy   1.31 eV/f.u.
Space group   F-43m

=====

(2)
DFT (GGA-PBE) results for a geometry-optimized PrNdP4Au2 structure. Values from VASP.

```
&SYSTEM
  ibrav = 0, nat = 8, ntyp = 4
/
ATOMIC_SPECIES
Pr 140.91 Pr.upf
Nd 144.24 Nd.upf
P 30.97 P.upf
Au 196.97 Au.upf
CELL_PARAMETERS angstrom
3.9803 0.0000 0.0000
0.0000 3.9803 0.0000
0.0000 0.0000 10.2629
ATOMIC_POSITIONS crystal
Pr 0.0000 0.0000 0.0000
Nd 0.5000 0.5000 0.4528
P 0.0000 0.0000 0.5485
P 0.0000 0.5000 0.2277
P 0.5000 0.0000 0.2277
P 0.5000 0.5000 0.9014
Au 0.0000 0.5000 0.7251
Au 0.5000 0.0000 0.7251
```

Output
Energy   -5.387 eV per atom
Space group   P4mm

=====

(3)
DFT (GGA-PBE) results for a geometry-optimized TbNdP4Au2 structure. Values from VASP.

```
&SYSTEM
  ibrav = 0, nat = 8, ntyp = 4
/
ATOMIC_SPECIES
Tb 158.93 Tb.upf
Nd 144.24 Nd.upf
P 30.97 P.upf
Au 196.97 Au.upf
CELL_PARAMETERS angstrom
3.9371 0.0000 0.0000
0.0000 3.9371 0.0000
0.0000 0.0000 10.1145
ATOMIC_POSITIONS crystal
Tb 0.0000 0.0000 0.0000
Nd 0.5000 0.5000 0.4498
P 0.0000 0.0000 0.5470
P 0.0000 0.5000 0.2198
P 0.5000 0.0000 0.2198
P 0.5000 0.5000 0.9140
Au 0.0000 0.5000 0.7301
Au 0.5000 0.0000 0.7301
```

Output
Energy   -5.374 eV per atom
Space group   P4mm

=====

(4)
DFT (GGA-PBE) results for a geometry-optimized NdPaAu structure. Values from VASP.

```
&SYSTEM
  ibrav = 0, nat = 3, ntyp = 3
/
ATOMIC_SPECIES
Nd 144.24 Nd.upf
Pa 231.04 Pa.upf
Au 196.97 Au.upf
CELL_PARAMETERS angstrom
0.0000 3.5655 3.5655
3.5655 0.0000 3.5655
3.5655 3.5655 0.0000
ATOMIC_POSITIONS crystal
Nd 0.0000 0.0000 0.0000
Pa 0.5000 0.5000 0.5000
Au 0.2500 0.2500 0.2500
```

Output
Formation energy   0.41 eV/f.u.
Space group   F-43m

=====

(5)
DFT (GGA-PBE) results for a geometry-optimized NdPbAu structure. Values from VASP.

```
&SYSTEM
  ibrav = 0, nat = 6, ntyp = 3
/
ATOMIC_SPECIES
Nd 144.24 Nd.upf
Pb 207.20 Pb.upf
Au 196.97 Au.upf
CELL_PARAMETERS angstrom
4.8695 0.0000 0.0000
-2.4348 4.2171 0.0000
0.0000 0.0000 7.6753
ATOMIC_POSITIONS crystal
Nd 0.0000 0.0000 0.0000
Nd 0.0000 0.0000 0.5000
Pb 0.3333 0.6667 0.2242
Pb 0.6667 0.3333 0.7242
Au 0.3333 0.6667 0.8215
Au 0.6667 0.3333 0.3215
```

Output
Energy   -4.572 eV per atom
Space group   P6_3mc

=====

(6)
DFT (GGA-PBE) results for a geometry-optimized NdPbAu structure. Values from VASP.

```
&SYSTEM
  ibrav = 0, nat = 6, ntyp = 3
/
ATOMIC_SPECIES
Nd 144.24 Nd.upf
Pb 207.20 Pb.upf
Au 196.97 Au.upf
CELL_PARAMETERS angstrom
5.2970 0.0000 0.0000
-2.6485 4.5873 0.0000
0.0000 0.0000 6.4304
ATOMIC_POSITIONS crystal
Nd 0.3333 0.6667 0.2500
Nd 0.6667 0.3333 0.7500
Pb 0.3333 0.6667 0.7500
Pb 0.6667 0.3333 0.2500
Au 0.0000 0.0000 0.0000
Au 0.0000 0.0000 0.5000
```

Output
Energy   -4.291 eV per atom
Space group   P6_3/mmc

=====

(7)
DFT (GGA-PBE) results for a geometry-optimized NdPbAu structure. Values from VASP.

```
&SYSTEM
  ibrav = 0, nat = 12, ntyp = 3
/
ATOMIC_SPECIES
Nd 144.24 Nd.upf
Pb 207.20 Pb.upf
Au 196.97 Au.upf
CELL_PARAMETERS angstrom
7.5926 0.0000 0.0000
0.0000 4.8849 0.0000
0.0000 0.0000 8.4859
ATOMIC_POSITIONS crystal
Nd 0.0002 0.2500 0.2183
Nd 0.9998 0.7500 0.7817
Nd 0.5002 0.2500 0.2817
Nd 0.4998 0.7500 0.7183
Pb 0.2232 0.2500 0.5909
Pb 0.2768 0.7500 0.0909
Pb 0.7232 0.2500 0.9091
Pb 0.7768 0.7500 0.4091
Au 0.1842 0.7500 0.4193
Au 0.3158 0.2500 0.9193
Au 0.6842 0.7500 0.0807
Au 0.8158 0.2500 0.5807
```

Output
Energy   -4.510 eV per atom
Space group   Pnma

=====

(8)
DFT (GGA-PBE) results for a geometry-optimized NdPbAu structure. Values from VASP.

```
&SYSTEM
  ibrav = 0, nat = 6, ntyp = 3
/
ATOMIC_SPECIES
Nd 144.24 Nd.upf
Pb 207.20 Pb.upf
Au 196.97 Au.upf
CELL_PARAMETERS angstrom
4.8687 0.0000 0.0000
-2.4343 4.2164 0.0000
0.0000 0.0000 7.7468
ATOMIC_POSITIONS crystal
Nd 0.0000 0.0000 0.0000
Nd 0.0000 0.0000 0.5000
Pb 0.3333 0.6667 0.2500
Pb 0.6667 0.3333 0.7500
Au 0.3333 0.6667 0.7500
Au 0.6667 0.3333 0.2500
```

Output
Energy   -4.487 eV per atom
Space group   P6_3/mmc

=====

(9)
DFT (GGA-PBE) results for a geometry-optimized NdPbAuS3 structure. Values from VASP.

```
&SYSTEM
  ibrav = 0, nat = 12, ntyp = 4
/
ATOMIC_SPECIES
Nd 144.24 Nd.upf
Pb 207.20 Pb.upf
Au 196.97 Au.upf
S 32.06 S.upf
CELL_PARAMETERS angstrom
2.0312 -6.6648 0.0000
2.0312 6.6648 0.0000
0.0000 0.0000 10.6477
ATOMIC_POSITIONS crystal
Nd 0.0000 0.0000 0.0000
Nd 0.0000 0.0000 0.5000
Pb 0.2405 0.7595 0.7500
Pb 0.7595 0.2405 0.2500
Au 0.4677 0.5323 0.2500
Au 0.5323 0.4677 0.7500
S 0.0913 0.9087 0.2500
S 0.3560 0.6440 0.0618
S 0.3560 0.6440 0.4382
S 0.6440 0.3560 0.5618
S 0.6440 0.3560 0.9382
S 0.9087 0.0913 0.7500
```

Output
Energy   -4.983 eV per atom
Space group   Cmcm

=====

(10)
DFT (GGA-PBE) results for a geometry-optimized NdPbAuS3 structure. Values from VASP.

```
&SYSTEM
  ibrav = 0, nat = 12, ntyp = 4
/
ATOMIC_SPECIES
Nd 144.24 Nd.upf
Pb 207.20 Pb.upf
Au 196.97 Au.upf
S 32.06 S.upf
CELL_PARAMETERS angstrom
7.6804 0.0000 0.0000
0.0000 4.0852 0.0000
-2.6181 0.0000 9.5318
ATOMIC_POSITIONS crystal
Nd 0.2002 0.2500 0.1606
Nd 0.7998 0.7500 0.8394
Pb 0.2274 0.7500 0.7000
Pb 0.7726 0.2500 0.3000
Au 0.3695 0.7500 0.4169
Au 0.6305 0.2500 0.5831
S 0.0713 0.2500 0.8652
S 0.1900 0.2500 0.4545
S 0.4629 0.7500 0.1899
S 0.5371 0.2500 0.8101
S 0.8100 0.7500 0.5455
S 0.9287 0.7500 0.1348
```

Output
Energy   -4.977 eV per atom
Space group   P2_1/m